1.
Computed, not measured: a relaxed structure of Ta5Au3 at the PBE level of DFT.

The structure in CIF format:
```
data_Ta5Au3
_space_group_name_H-M_alt 'P 1'
_space_group_IT_number 1
_cell_length_a 8.186
_cell_length_b 8.186
_cell_length_c 5.131
_cell_angle_alpha 90.00
_cell_angle_beta 90.00
_cell_angle_gamma 58.89
loop_
_space_group_symop_operation_xyz
'x,y,z'
loop_
_atom_site_label
_atom_site_type_symbol
_atom_site_fract_x
_atom_site_fract_y
_atom_site_fract_z
Ta1 Ta 0.002 0.233 0.750
Ta2 Ta 0.163 0.837 0.750
Ta3 Ta 0.233 0.002 0.250
Ta4 Ta 0.337 0.337 0.000
Ta5 Ta 0.337 0.337 0.500
Ta6 Ta 0.663 0.663 0.000
Ta7 Ta 0.663 0.663 0.500
Ta8 Ta 0.767 0.998 0.750
Ta9 Ta 0.837 0.163 0.250
Ta10 Ta 0.998 0.767 0.250
Au1 Au 0.001 0.403 0.250
Au2 Au 0.398 0.602 0.250
Au3 Au 0.403 0.001 0.750
Au4 Au 0.597 0.999 0.250
Au5 Au 0.602 0.398 0.750
Au6 Au 0.999 0.597 0.750
```

Values from the calculation:
Uncorrected energy: -137.0 eV/cell
Space-group type: No. 63


2.
Computed, not measured: a relaxed structure of Ta2Au3 at the PBE level of DFT.

The structure in CIF format:
```
data_Ta2Au3
_space_group_name_H-M_alt 'P 1'
_space_group_IT_number 1
_cell_length_a 4.524
_cell_length_b 4.524
_cell_length_c 5.715
_cell_angle_alpha 90.00
_cell_angle_beta 90.00
_cell_angle_gamma 120.00
loop_
_space_group_symop_operation_xyz
'x,y,z'
loop_
_atom_site_label
_atom_site_type_symbol
_atom_site_fract_x
_atom_site_fract_y
_atom_site_fract_z
Ta1 Ta 0.333 0.667 0.359
Ta2 Ta 0.667 0.333 0.641
Au1 Au 0.000 0.000 0.500
Au2 Au 0.333 0.667 0.872
Au3 Au 0.667 0.333 0.128
```

Values from the calculation:
Uncorrected energy: -32.3 eV/cell
Space-group type: No. 164


3.
Computed, not measured: a relaxed structure of Ta2Au at the PBE level of DFT.

The structure in CIF format:
```
data_Ta2Au
_space_group_name_H-M_alt 'P 1'
_space_group_IT_number 1
_cell_length_a 2.914
_cell_length_b 2.914
_cell_length_c 7.428
_cell_angle_alpha 90.00
_cell_angle_beta 90.00
_cell_angle_gamma 120.00
loop_
_space_group_symop_operation_xyz
'x,y,z'
loop_
_atom_site_label
_atom_site_type_symbol
_atom_site_fract_x
_atom_site_fract_y
_atom_site_fract_z
Ta1 Ta 0.333 0.667 0.172
Ta2 Ta 0.667 0.333 0.828
Au1 Au 0.000 0.000 0.500
```

Values from the calculation:
Uncorrected energy: -26.6 eV/cell
Space-group type: No. 164


4.
Computed, not measured: a relaxed structure of TaAu4 at the PBE level of DFT.

The structure in CIF format:
```
data_TaAu4
_space_group_name_H-M_alt 'P 1'
_space_group_IT_number 1
_cell_length_a 5.103
_cell_length_b 5.103
_cell_length_c 5.103
_cell_angle_alpha 90.00
_cell_angle_beta 90.00
_cell_angle_gamma 90.00
loop_
_space_group_symop_operation_xyz
'x,y,z'
loop_
_atom_site_label
_atom_site_type_symbol
_atom_site_fract_x
_atom_site_fract_y
_atom_site_fract_z
Ta1 Ta 0.000 0.000 0.000
Au1 Au 0.000 0.000 0.500
Au2 Au 0.000 0.500 0.000
Au3 Au 0.500 0.000 0.000
Au4 Au 0.500 0.500 0.500
```

Values from the calculation:
Uncorrected energy: -19.5 eV/cell
Space-group type: No. 221


5.
Computed, not measured: a relaxed structure of Ta5Au at the PBE level of DFT.

The structure in CIF format:
```
data_Ta5Au
_space_group_name_H-M_alt 'P 1'
_space_group_IT_number 1
_cell_length_a 5.430
_cell_length_b 5.430
_cell_length_c 5.430
_cell_angle_alpha 60.00
_cell_angle_beta 60.00
_cell_angle_gamma 60.00
loop_
_space_group_symop_operation_xyz
'x,y,z'
loop_
_atom_site_label
_atom_site_type_symbol
_atom_site_fract_x
_atom_site_fract_y
_atom_site_fract_z
Ta1 Ta 0.000 0.000 0.000
Ta2 Ta 0.373 0.373 0.373
Ta3 Ta 0.373 0.373 0.881
Ta4 Ta 0.373 0.881 0.373
Ta5 Ta 0.881 0.373 0.373
Au1 Au 0.750 0.750 0.750
```

Values from the calculation:
Uncorrected energy: -60.7 eV/cell
Space-group type: No. 216


6.
Computed, not measured: a relaxed structure of Ta5Au at the PBE level of DFT.

The structure in CIF format:
```
data_Ta5Au
_space_group_name_H-M_alt 'P 1'
_space_group_IT_number 1
_cell_length_a 2.817
_cell_length_b 2.817
_cell_length_c 13.821
_cell_angle_alpha 90.00
_cell_angle_beta 90.00
_cell_angle_gamma 90.00
loop_
_space_group_symop_operation_xyz
'x,y,z'
loop_
_atom_site_label
_atom_site_type_symbol
_atom_site_fract_x
_atom_site_fract_y
_atom_site_fract_z
Ta1 Ta 0.000 0.000 0.000
Ta2 Ta 0.000 0.000 0.339
Ta3 Ta 0.000 0.000 0.661
Ta4 Ta 0.500 0.500 0.172
Ta5 Ta 0.500 0.500 0.828
Au1 Au 0.500 0.500 0.500
```

Values from the calculation:
Uncorrected energy: -62.2 eV/cell
Space-group type: No. 123


7.
Computed, not measured: a relaxed structure of TaAu4 at the PBE level of DFT.

The structure in CIF format:
```
data_TaAu4
_space_group_name_H-M_alt 'P 1'
_space_group_IT_number 1
_cell_length_a 10.399
_cell_length_b 10.399
_cell_length_c 10.399
_cell_angle_alpha 163.58
_cell_angle_beta 163.58
_cell_angle_gamma 23.31
loop_
_space_group_symop_operation_xyz
'x,y,z'
loop_
_atom_site_label
_atom_site_type_symbol
_atom_site_fract_x
_atom_site_fract_y
_atom_site_fract_z
Ta1 Ta 0.000 0.000 0.000
Au1 Au 0.199 0.199 0.000
Au2 Au 0.404 0.404 0.000
Au3 Au 0.596 0.596 0.000
Au4 Au 0.801 0.801 0.000
```

Values from the calculation:
Uncorrected energy: -25.2 eV/cell
Space-group type: No. 139


8.
Computed, not measured: a relaxed structure of TaAu2 at the PBE level of DFT.

The structure in CIF format:
```
data_TaAu2
_space_group_name_H-M_alt 'P 1'
_space_group_IT_number 1
_cell_length_a 5.387
_cell_length_b 5.387
_cell_length_c 8.821
_cell_angle_alpha 90.00
_cell_angle_beta 90.00
_cell_angle_gamma 120.00
loop_
_space_group_symop_operation_xyz
'x,y,z'
loop_
_atom_site_label
_atom_site_type_symbol
_atom_site_fract_x
_atom_site_fract_y
_atom_site_fract_z
Ta1 Ta 0.333 0.667 0.040
Ta2 Ta 0.333 0.667 0.460
Ta3 Ta 0.667 0.333 0.540
Ta4 Ta 0.667 0.333 0.960
Au1 Au 0.000 0.000 0.000
Au2 Au 0.000 0.000 0.500
Au3 Au 0.171 0.342 0.750
Au4 Au 0.171 0.829 0.750
Au5 Au 0.342 0.171 0.250
Au6 Au 0.658 0.829 0.750
Au7 Au 0.829 0.171 0.250
Au8 Au 0.829 0.658 0.250
```

Values from the calculation:
Uncorrected energy: -69.0 eV/cell
Space-group type: No. 194


9.
Computed, not measured: a relaxed structure of TaAu2 at the PBE level of DFT.

The structure in CIF format:
```
data_TaAu2
_space_group_name_H-M_alt 'P 1'
_space_group_IT_number 1
_cell_length_a 6.420
_cell_length_b 6.420
_cell_length_c 6.420
_cell_angle_alpha 90.00
_cell_angle_beta 90.00
_cell_angle_gamma 90.00
loop_
_space_group_symop_operation_xyz
'x,y,z'
loop_
_atom_site_label
_atom_site_type_symbol
_atom_site_fract_x
_atom_site_fract_y
_atom_site_fract_z
Ta1 Ta 0.000 0.000 0.000
Ta2 Ta 0.000 0.500 0.500
Ta3 Ta 0.500 0.000 0.500
Ta4 Ta 0.500 0.500 0.000
Au1 Au 0.127 0.627 0.873
Au2 Au 0.127 0.873 0.373
Au3 Au 0.373 0.127 0.873
Au4 Au 0.373 0.373 0.373
Au5 Au 0.627 0.627 0.627
Au6 Au 0.627 0.873 0.127
Au7 Au 0.873 0.127 0.627
Au8 Au 0.873 0.373 0.127
```

Values from the calculation:
Uncorrected energy: -65.2 eV/cell
Space-group type: No. 205


10.
Computed, not measured: a relaxed structure of Ta5Au3 at the PBE level of DFT.

The structure in CIF format:
```
data_Ta5Au3
_space_group_name_H-M_alt 'P 1'
_space_group_IT_number 1
_cell_length_a 5.826
_cell_length_b 5.826
_cell_length_c 4.214
_cell_angle_alpha 90.00
_cell_angle_beta 90.00
_cell_angle_gamma 96.47
loop_
_space_group_symop_operation_xyz
'x,y,z'
loop_
_atom_site_label
_atom_site_type_symbol
_atom_site_fract_x
_atom_site_fract_y
_atom_site_fract_z
Ta1 Ta 0.000 0.000 0.000
Ta2 Ta 0.000 0.500 0.000
Ta3 Ta 0.255 0.745 0.500
Ta4 Ta 0.500 0.000 0.000
Ta5 Ta 0.745 0.255 0.500
Au1 Au 0.249 0.249 0.500
Au2 Au 0.500 0.500 0.000
Au3 Au 0.751 0.751 0.500
```

Values from the calculation:
Uncorrected energy: -69.1 eV/cell
Space-group type: No. 65


11.
Computed, not measured: a relaxed structure of TaAu2 at the PBE level of DFT.

The structure in CIF format:
```
data_TaAu2
_space_group_name_H-M_alt 'P 1'
_space_group_IT_number 1
_cell_length_a 5.743
_cell_length_b 5.743
_cell_length_c 6.860
_cell_angle_alpha 105.63
_cell_angle_beta 105.63
_cell_angle_gamma 30.02
loop_
_space_group_symop_operation_xyz
'x,y,z'
loop_
_atom_site_label
_atom_site_type_symbol
_atom_site_fract_x
_atom_site_fract_y
_atom_site_fract_z
Ta1 Ta 0.000 0.000 0.000
Ta2 Ta 0.659 0.659 0.311
Au1 Au 0.279 0.279 0.052
Au2 Au 0.323 0.323 0.649
Au3 Au 0.605 0.605 0.727
Au4 Au 0.951 0.951 0.380
```

Values from the calculation:
Uncorrected energy: -36.5 eV/cell
Space-group type: No. 8


12.
Computed, not measured: a relaxed structure of Ta8Au at the PBE level of DFT.

The structure in CIF format:
```
data_Ta8Au
_space_group_name_H-M_alt 'P 1'
_space_group_IT_number 1
_cell_length_a 7.095
_cell_length_b 7.095
_cell_length_c 7.095
_cell_angle_alpha 93.40
_cell_angle_beta 93.40
_cell_angle_gamma 151.83
loop_
_space_group_symop_operation_xyz
'x,y,z'
loop_
_atom_site_label
_atom_site_type_symbol
_atom_site_fract_x
_atom_site_fract_y
_atom_site_fract_z
Ta1 Ta 0.000 0.331 0.331
Ta2 Ta 0.000 0.669 0.669
Ta3 Ta 0.331 0.000 0.331
Ta4 Ta 0.331 0.331 0.662
Ta5 Ta 0.331 0.669 0.000
Ta6 Ta 0.669 0.000 0.669
Ta7 Ta 0.669 0.331 0.000
Ta8 Ta 0.669 0.669 0.338
Au1 Au 0.000 0.000 0.000
```

Values from the calculation:
Uncorrected energy: -98.5 eV/cell
Space-group type: No. 139


Quick rundown of total magnetization, same order as above: 0.0; 0.0; 0.0; 0.0; 0.0; 0.0; 0.0; 1.5; 0.0; 0.0; 0.0; 0.0 μB/cell
Quick rundown of formation enthalpy at 0 K, same order as above: 77; 249; 126; 1093; 306; 59; -46; 387; 700; -1; 50; -50 meV per atom